--- P ---
## Sm5Er4Tm (PBE)

Data for an optimized crystal structure of Sm5Er4Tm.

Computed properties:
Total magnetic moment, μB/cell: 0.00
N(E_F), states/eV/cell: 14.49

```
Sm5Er4Tm
1.0
3.444 0.000 -0.802
-1.461 9.344 -6.274
0.888 -2.508 11.609
Sm Er Tm
5 4 1
direct
0.211 0.306 0.421
0.189 0.800 0.378
0.811 0.200 0.622
0.500 0.500 0.000
0.789 0.694 0.579
0.605 0.915 0.210
0.082 0.369 0.163
0.395 0.085 0.790
0.918 0.631 0.837
0.500 0.000 0.000
```


--- Q ---
## Sm5Er4Tm (PBE)

Data for an optimized crystal structure of Sm5Er4Tm.

Computed properties:
Total magnetic moment, μB/cell: 0.00
N(E_F), states/eV/cell: 13.34

```
Sm5Er4Tm
1.0
5.931 0.000 0.000
2.966 7.471 0.000
2.966 0.000 7.471
Sm Er Tm
5 4 1
direct
0.765 0.378 0.000
0.144 0.000 0.622
0.765 0.000 0.378
0.144 0.622 0.000
0.688 0.000 0.000
0.446 0.325 0.675
0.771 0.675 0.675
0.121 0.325 0.325
0.446 0.675 0.325
0.219 0.000 0.000
```


Of them, the most stable is P and the least stable is Q.


--- P ---
## Sm5ErTm (PBE)

Data for an optimized crystal structure of Sm5ErTm.

Computed properties:
Total magnetic moment, μB/cell: 0.00
N(E_F), states/eV/cell: 9.57

```
Sm5ErTm
1.0
6.170 0.000 0.000
0.000 8.038 0.000
-3.085 -4.019 5.897
Sm Er Tm
5 1 1
direct
0.189 0.253 0.506
0.168 0.500 0.000
0.683 0.747 0.494
0.433 0.822 0.000
0.433 0.178 0.000
0.931 0.000 0.000
0.694 0.500 0.000
```


--- Q ---
## Sm5ErTm (PBE)

Data for an optimized crystal structure of Sm5ErTm.

Computed properties:
Total magnetic moment, μB/cell: 0.00
N(E_F), states/eV/cell: 12.31

```
Sm5ErTm
1.0
0.196 3.459 5.897
4.712 0.495 9.014
8.448 2.311 3.882
Sm Er Tm
5 1 1
direct
0.807 0.381 0.120
0.356 0.229 0.499
0.500 0.000 0.000
0.644 0.771 0.501
0.193 0.619 0.880
0.500 0.500 0.500
0.000 0.000 0.000
```


Of them, the most stable is Q and the least stable is P.